# 1
DFT (GGA+U) results for crystalline ZrCr3O6 at its relaxed geometry.

- space-group type = Cmmm, No. 65
- DFT total energy (eV/atom) = -8.294

Unit cell a=6.1190 b=6.1190 c=3.2357 alpha=90.00 beta=90.00 gamma=109.61
Fractional positions:
Zr  0.0000  0.0000  0.0000
Cr  0.0000  0.5000  0.5000
Cr  0.5000  0.0000  0.5000
Cr  0.5000  0.5000  0.0000
O  0.1441  0.8559  0.5000
O  0.1578  0.4118  0.0000
O  0.4118  0.1578  0.0000
O  0.5882  0.8422  0.0000
O  0.8422  0.5882  0.0000
O  0.8559  0.1441  0.5000

# 2
DFT (GGA+U) results for crystalline ZrCr3O at its relaxed geometry.

- density of states at the Fermi level (states/eV/atom) = 1.192
- space-group type = Pm-3m, No. 221
- polymorph energy (0 for the lowest one) (meV per atom) = 0

Unit cell a=4.3278 b=4.3278 c=4.3278 alpha=90.00 beta=90.00 gamma=90.00
Fractional positions:
Zr  0.0000  0.0000  0.0000
Cr  0.0000  0.5000  0.5000
Cr  0.5000  0.0000  0.5000
Cr  0.5000  0.5000  0.0000
O  0.5000  0.5000  0.5000

# 3
DFT (GGA+U) results for crystalline ZrCr2O6 at its relaxed geometry.

- space-group type = C2/m, No. 12
- DFT total energy (eV/atom) = -8.029

Unit cell a=5.0207 b=5.0207 c=4.6057 alpha=90.17 beta=90.17 gamma=121.12
Fractional positions:
Zr  0.0000  0.0000  0.0000
Cr  0.3362  0.6638  0.5000
Cr  0.6638  0.3362  0.5000
O  0.0043  0.3490  0.2732
O  0.3490  0.0043  0.2732
O  0.3496  0.3496  0.7324
O  0.6504  0.6504  0.2676
O  0.6510  0.9957  0.7268
O  0.9957  0.6510  0.7268

# 4
DFT (GGA+U) results for crystalline ZrCrO2 at its relaxed geometry.

- density of states at the Fermi level (states/eV/atom) = 0.335
- space-group type = I-42d, No. 122
- polymorph energy (0 for the lowest one) (meV per atom) = 290

Unit cell a=6.4028 b=6.4028 c=6.4028 alpha=135.30 beta=135.30 gamma=65.07
Fractional positions:
Zr  0.0000  0.0000  0.0000
Zr  0.7500  0.2500  0.5000
Cr  0.2500  0.7500  0.5000
Cr  0.5000  0.5000  0.0000
O  0.0717  0.6250  0.9467
O  0.3750  0.3217  0.4467
O  0.6783  0.1250  0.0533
O  0.8750  0.9283  0.5533

# 5
DFT (GGA+U) results for crystalline Zr3CrO at its relaxed geometry.

- density of states at the Fermi level (states/eV/atom) = 0.936
- space-group type = Pm-3m, No. 221
- DFT total energy (eV/atom) = -8.485

Unit cell a=4.5027 b=4.5027 c=4.5027 alpha=90.00 beta=90.00 gamma=90.00
Fractional positions:
Zr  0.0000  0.0000  0.5000
Zr  0.0000  0.5000  0.0000
Zr  0.5000  0.0000  0.0000
Cr  0.5000  0.5000  0.5000
O  0.0000  0.0000  0.0000

# 6
DFT (GGA+U) results for crystalline ZrCrO2 at its relaxed geometry.

- density of states at the Fermi level (states/eV/atom) = 0.778
- space-group type = R-3m, No. 166
- polymorph energy (0 for the lowest one) (meV per atom) = 381

Unit cell a=6.4282 b=6.4282 c=6.4282 alpha=28.55 beta=28.55 gamma=28.55
Fractional positions:
Zr  0.0000  0.0000  0.0000
Cr  0.5000  0.5000  0.5000
O  0.1132  0.1132  0.1132
O  0.8868  0.8868  0.8868